The following is a DFT calculation (GGA-PBE) of an optimized crystal structure of Sc5Ni6.

The space group is C2/m (No. 12) and the conventional cell measures 12.0966, 6.5297 and 4.5113 Å, with angles of 90.00, 94.61 and 90.00 degrees. Symmetry generates all atoms from Sc at (0.0000, 0.0000, 0.0000), Sc at (0.1101, 0.5000, 0.7739), Sc at (0.1960, 0.0000, 0.6531), Ni at (0.0000, 0.2058, 0.5000) and Ni at (0.1704, 0.2170, 0.1768).

For the energy, the calculation gives -6.3646 eV per atom. For the energy of formation from the pure elements, the calculation gives -0.3332 eV/atom. For the density of states at the Fermi level, the calculation gives 14.23 states/eV/cell.